DFT (PBE) results for a geometry-optimized LaBeOF2 structure.

Results
Uncorrected energy in eV per formula unit: -31.2
Uncorrected formation energy in eV/atom: -2.77

Lattice parameters (Å, degrees): 4.2834 4.2834 3.1667 90.00 90.00 90.00
Space group P4/mmm (No. 123)
Symmetry-distinct sites (fractional):
La 0.0000 0.0000 0.0000 (multiplicity 1)
Be 0.5000 0.5000 0.5000 (multiplicity 1)
O 0.5000 0.5000 0.0000 (multiplicity 1)
F 0.0000 0.5000 0.5000 (multiplicity 2)

***

DFT (PBE) results for a geometry-optimized LaBeO2F structure.

Results
Uncorrected energy in eV per formula unit: -28.6
Uncorrected formation energy in eV/atom: -1.64

Lattice parameters (Å, degrees): 4.5561 4.5561 2.9639 90.00 90.00 90.00
Space group P4/mmm (No. 123)
Symmetry-distinct sites (fractional):
La 0.0000 0.0000 0.0000 (multiplicity 1)
Be 0.5000 0.5000 0.0000 (multiplicity 1)
O 0.0000 0.5000 0.5000 (multiplicity 2)
F 0.5000 0.5000 0.5000 (multiplicity 1)

***

The lowest uncorrected formation energy belongs to which entry? LaBeOF2